DFT (PBE) results for HfNb2Os after structural relaxation.

Computed properties:
offset from the most stable computed form = 0.127 eV per atom
formation enthalpy at 0 K = -121 meV/atom
total energy = -10.4520 eV per atom

Cell lengths 4.6493, 4.6493, 3.2497 Å; angles 90.00, 90.00, 90.00 degrees
Space group P4/mmm (No. 123)
Asymmetric unit:
Hf1 0.0000 0.0000 0.0000 x1
Nb1 0.0000 0.5000 0.5000 x2
Os1 0.5000 0.5000 0.0000 x1